Version a
A geometry-optimized Y3GaTe2 structure. Source: Alexandria, functional PBE-GGA.

DOS at the Fermi energy ... 2.8 states/eV per cell

Cell: 4.2135 6.0934 13.2908 Å, 90.00 90.00 90.00°
Space group Immm (No. 71)
Inequivalent atoms, fractional coordinates:
Y 0.0000 0.0000 0.0000 (multiplicity 2)
Y 0.0000 0.0000 0.3481 (multiplicity 4)
Ga 0.0000 0.5000 0.0000 (multiplicity 2)
Te 0.0000 0.5000 0.3270 (multiplicity 4)


Version b
A geometry-optimized Y3GaTe2 structure. Source: Alexandria, functional PBE-GGA.

DOS at the Fermi energy ... 2.4 states/eV per cell

Cell: 6.0419 14.2207 4.5222 Å, 90.00 90.00 90.00°
Space group Cmmm (No. 65)
Inequivalent atoms, fractional coordinates:
Y 0.0000 0.0000 0.0000 (multiplicity 2)
Y 0.0000 0.3724 0.5000 (multiplicity 4)
Ga 0.0000 0.5000 0.0000 (multiplicity 2)
Te 0.0000 0.1523 0.5000 (multiplicity 4)


Stability summary: most stable version a, least stable version b.


Version a
A geometry-optimized Y2GaTe structure. Source: Alexandria, functional PBE-GGA.

DOS at the Fermi energy ... 6.6 states/eV per cell

Cell: 4.0290 4.0290 23.6304 Å, 90.00 90.00 120.00°
Space group R3m (No. 160, hexagonal axes)
Inequivalent atoms, fractional coordinates:
Y 0.0000 0.0000 0.0000 (multiplicity 3)
Y 0.0000 0.0000 0.1769 (multiplicity 3)
Ga 0.0000 0.0000 0.5896 (multiplicity 3)
Te 0.0000 0.0000 0.4208 (multiplicity 3)


Version b
A geometry-optimized Y2GaTe structure. Source: Alexandria, functional PBE-GGA.

DOS at the Fermi energy ... 18.9 states/eV per cell

Cell: 7.4439 7.4439 7.4439 Å, 90.00 90.00 90.00°
Space group Fm-3m (No. 225)
Inequivalent atoms, fractional coordinates:
Y 0.2500 0.2500 0.2500 (multiplicity 8)
Ga 0.0000 0.0000 0.0000 (multiplicity 4)
Te 0.0000 0.0000 0.5000 (multiplicity 4)


Version c
A geometry-optimized Y2GaTe structure. Source: Alexandria, functional PBE-GGA.

DOS at the Fermi energy ... 11.4 states/eV per cell

Cell: 4.3744 23.4131 4.1657 Å, 90.00 90.00 90.00°
Space group Cmcm (No. 63)
Inequivalent atoms, fractional coordinates:
Y 0.0000 0.0619 0.2500 (multiplicity 4)
Y 0.0000 0.3339 0.2500 (multiplicity 4)
Ga 0.0000 0.4623 0.2500 (multiplicity 4)
Te 0.0000 0.1945 0.2500 (multiplicity 4)


Version d
A geometry-optimized Y2GaTe structure. Source: Alexandria, functional PBE-GGA.

DOS at the Fermi energy ... 11.5 states/eV per cell

Cell: 8.0241 8.0241 6.8514 Å, 90.00 90.00 90.00°
Space group I-42d (No. 122)
Inequivalent atoms, fractional coordinates:
Y 0.2387 0.2500 0.1250 (multiplicity 8)
Ga 0.0000 0.0000 0.0000 (multiplicity 4)
Te 0.0000 0.0000 0.5000 (multiplicity 4)


Stability summary: most stable version c, least stable version d.


Version a
A geometry-optimized Y2Ga2Te structure. Source: Alexandria, functional PBE-GGA.

DOS at the Fermi energy ... 7.1 states/eV per cell

Cell: 7.9912 7.9912 4.2041 Å, 90.00 90.00 90.00°
Space group P4/mbm (No. 127)
Inequivalent atoms, fractional coordinates:
Y 0.1760 0.3240 0.0000 (multiplicity 4)
Ga 0.1146 0.6146 0.5000 (multiplicity 4)
Te 0.0000 0.0000 0.0000 (multiplicity 2)


Version b
A geometry-optimized Y2Ga2Te structure. Source: Alexandria, functional PBE-GGA.

DOS at the Fermi energy ... 1.0 states/eV per cell

Cell: 7.6949 7.6949 4.0993 Å, 90.00 90.00 90.00°
Space group P4/mbm (No. 127)
Inequivalent atoms, fractional coordinates:
Y 0.1779 0.3221 0.0000 (multiplicity 4)
Ga 0.1175 0.6175 0.5000 (multiplicity 4)
Te 0.0000 0.0000 0.5000 (multiplicity 2)


Stability summary: most stable version b, least stable version a.


Version a
A geometry-optimized Zr2Ga2Te structure. Source: Alexandria, functional PBE-GGA.

DOS at the Fermi energy ... 10.7 states/eV per cell

Cell: 7.4403 7.4403 3.7480 Å, 90.00 90.00 90.00°
Space group P4/mbm (No. 127)
Inequivalent atoms, fractional coordinates:
Zr 0.1859 0.3141 0.0000 (multiplicity 4)
Ga 0.1161 0.6161 0.5000 (multiplicity 4)
Te 0.0000 0.0000 0.5000 (multiplicity 2)


Version b
A geometry-optimized Zr2Ga2Te structure. Source: Alexandria, functional PBE-GGA.

DOS at the Fermi energy ... 6.5 states/eV per cell

Cell: 7.5101 7.5101 3.9203 Å, 90.00 90.00 90.00°
Space group P4/mbm (No. 127)
Inequivalent atoms, fractional coordinates:
Zr 0.1732 0.3268 0.0000 (multiplicity 4)
Ga 0.1232 0.6232 0.5000 (multiplicity 4)
Te 0.0000 0.0000 0.0000 (multiplicity 2)


Stability summary: most stable version b, least stable version a.


Version a
A geometry-optimized Th5Ga3 structure. Source: Alexandria, functional PBE-GGA.

DOS at the Fermi energy ... 25.0 states/eV per cell

Cell: 9.0509 9.0509 6.3004 Å, 90.00 90.00 120.00°
Space group P6_3/mcm (No. 193)
Inequivalent atoms, fractional coordinates:
Th 0.0000 0.2507 0.2500 (multiplicity 6)
Th 0.3333 0.6667 0.0000 (multiplicity 4)
Ga 0.0000 0.3894 0.7500 (multiplicity 6)


Version b
A geometry-optimized Th5Ga3 structure. Source: Alexandria, functional PBE-GGA.

DOS at the Fermi energy ... 39.3 states/eV per cell

Cell: 7.8963 7.8963 13.9667 Å, 90.00 90.00 90.00°
Space group I4/mcm (No. 140)
Inequivalent atoms, fractional coordinates:
Th 0.0000 0.0000 0.0000 (multiplicity 4)
Th 0.1681 0.3319 0.1519 (multiplicity 16)
Ga 0.0000 0.0000 0.2500 (multiplicity 4)
Ga 0.1227 0.3773 0.5000 (multiplicity 8)


Stability summary: most stable version b, least stable version a.


Version a
A geometry-optimized ThGa6 structure. Source: Alexandria, functional PBE-GGA.

DOS at the Fermi energy ... 3.9 states/eV per cell

Cell: 6.0730 6.0730 7.6443 Å, 90.00 90.00 90.00°
Space group P4/nbm (No. 125, origin choice 2)
Inequivalent atoms, fractional coordinates:
Th 0.2500 0.7500 0.0000 (multiplicity 2)
Ga 0.0702 0.5702 0.3538 (multiplicity 8)
Ga 0.2500 0.2500 0.1647 (multiplicity 4)


Version b
A geometry-optimized ThGa6 structure. Source: Alexandria, functional PBE-GGA.

DOS at the Fermi energy ... 7.1 states/eV per cell

Cell: 6.8676 6.8676 6.8676 Å, 90.00 90.00 90.00°
Space group Im-3m (No. 229)
Inequivalent atoms, fractional coordinates:
Th 0.0000 0.0000 0.0000 (multiplicity 2)
Ga 0.0000 0.2500 0.5000 (multiplicity 12)


Stability summary: most stable version a, least stable version b.